VASP calculation (PBE-GGA) on a geometry-optimized NaVHg structure.

The structure in POSCAR format:
```
NaVHg
1.0
15.566 0.000 -0.025
0.740 1.733 -2.280
-0.740 1.733 2.280
Na Hg V
2 2 2
Direct
0.926 0.455 0.545
0.557 0.863 0.137
0.740 0.166 0.834
0.379 0.538 0.462
0.111 0.771 0.229
0.220 0.166 0.834
```

Output
Polymorph energy (0 for the lowest one), eV per formula unit: 0.30
ρ, g/cm³: 7.4
Crystal system: monoclinic
Magnetic moment, μB per atom: 0.00
Energy of formation, eV per atom: 0.23
Space-group type: Cm